1.
LiPb2Br (GGA-PBE, optimized geometry); crystal system = monoclinic; energy above the most stable polymorph in this dataset = 0.05 eV/f.u.; calculated volume = 131 Å³ per cell; total energy = -0.123 Ha/atom
1.0
10.373 -1.736 0.000
10.373 1.736 0.000
-0.604 0.000 3.642
Li Pb Br
1 2 1
direct
0.000 0.000 0.000
0.306 0.306 0.801
0.694 0.694 0.199
0.500 0.500 0.500

=====

2.
Li2PuPbBr8 (GGA-PBE, optimized geometry); crystal system = triclinic; calculated volume = 418 Å³ per cell; total energy = -0.154 Ha/atom
1.0
6.998 0.000 0.000
1.466 7.102 0.000
0.029 2.747 8.402
Li Pu Pb Br
2 1 1 8
direct
0.039 0.148 0.326
0.961 0.852 0.674
0.500 0.500 0.000
0.500 0.500 0.500
0.103 0.772 0.435
0.140 0.749 0.950
0.374 0.282 0.828
0.384 0.260 0.289
0.616 0.740 0.711
0.626 0.718 0.172
0.860 0.251 0.050
0.897 0.228 0.565

=====

3.
LiPuPbBr6 (GGA-PBE, optimized geometry); crystal system = trigonal; calculated volume = 599 Å³ per cell; total energy = -0.170 Ha/atom
1.0
7.230 0.000 0.000
-3.615 6.262 0.000
0.000 0.000 13.235
Li Pu Pb Br
2 2 2 12
direct
0.333 0.667 0.250
0.667 0.333 0.750
0.333 0.667 0.750
0.667 0.333 0.250
0.000 0.000 0.000
0.000 0.000 0.500
0.011 0.357 0.130
0.011 0.654 0.370
0.346 0.357 0.370
0.346 0.989 0.130
0.357 0.011 0.630
0.357 0.346 0.870
0.643 0.654 0.130
0.643 0.989 0.370
0.654 0.011 0.870
0.654 0.643 0.630
0.989 0.346 0.630
0.989 0.643 0.870

=====

4.
RbLi3Pb4Br12 (GGA-PBE, optimized geometry); crystal system = cubic; calculated volume = 689 Å³ per cell; total energy = -0.118 Ha/atom
1.0
-5.563 5.563 5.563
5.563 -5.563 5.563
5.563 5.563 -5.563
Rb Li Pb Br
1 3 4 12
direct
0.000 0.000 0.000
0.000 0.500 0.500
0.500 0.000 0.500
0.500 0.500 0.000
0.000 0.000 0.500
0.000 0.500 0.000
0.500 0.000 0.000
0.500 0.500 0.500
0.156 0.321 0.835
0.165 0.487 0.321
0.165 0.844 0.679
0.321 0.165 0.487
0.321 0.835 0.156
0.487 0.321 0.165
0.513 0.679 0.835
0.679 0.165 0.844
0.679 0.835 0.513
0.835 0.156 0.321
0.835 0.513 0.679
0.844 0.679 0.165

=====

5.
Rb2LiPbBr6 (GGA-PBE, optimized geometry); crystal system = cubic; calculated volume = 350 Å³ per cell; total energy = -0.110 Ha/atom
1.0
0.000 5.594 5.594
5.594 0.000 5.594
5.594 5.594 0.000
Rb Li Pb Br
2 1 1 6
direct
0.250 0.250 0.250
0.750 0.750 0.750
0.000 0.000 0.000
0.500 0.500 0.500
0.243 0.243 0.757
0.243 0.757 0.243
0.243 0.757 0.757
0.757 0.243 0.243
0.757 0.243 0.757
0.757 0.757 0.243

=====

6.
LiPbSeBr (GGA-PBE, optimized geometry); crystal system = trigonal; calculated volume = 108 Å³ per cell; total energy = -0.135 Ha/atom
1.0
2.088 1.205 7.142
-2.088 1.205 7.142
0.000 -2.410 7.142
Li Pb Se Br
1 1 1 1
direct
0.000 0.000 0.000
0.491 0.491 0.491
0.749 0.749 0.749
0.273 0.273 0.273

=====

7.
LiPbSeBr2 (GGA-PBE, optimized geometry); crystal system = tetragonal; energy above the most stable polymorph in this dataset = 0.00 eV/f.u.; calculated volume = 127 Å³ per cell; total energy = -0.111 Ha/atom
1.0
4.987 0.000 0.000
0.000 4.987 0.000
0.000 0.000 5.101
Li Pb Se Br
1 1 1 2
direct
0.000 0.000 0.000
0.500 0.500 0.500
0.000 0.000 0.500
0.000 0.500 0.000
0.500 0.000 0.000

=====

8.
LiPbSeBr2 (GGA-PBE, optimized geometry); crystal system = tetragonal; energy above the most stable polymorph in this dataset = 2.49 eV/f.u.; calculated volume = 369 Å³ per cell; total energy = -0.093 Ha/atom
1.0
5.653 0.000 0.000
0.000 5.653 0.000
0.000 0.000 11.535
Li Pb Se Br
1 1 1 2
direct
0.000 0.000 0.000
0.000 0.000 0.500
0.500 0.500 0.000
0.000 0.500 0.500
0.500 0.000 0.500

=====

| no. | formation energy from raw total energies (eV/atom) |
| --- | --- |
| 1 | -0.60 |
| 2 | -1.26 |
| 3 | -1.29 |
| 4 | -1.14 |
| 5 | -1.24 |
| 6 | -0.97 |
| 7 | -0.53 |
| 8 | -0.04 |